No. 1
Below is a relaxed structure of KBaHgBr, with properties calculated at the PBE-GGA level.

The structure in CIF format:
```
data_KBaHgBr
_symmetry_space_group_name_H-M 'P 1'
_symmetry_Int_Tables_number 1
_cell_length_a 8.4584
_cell_length_b 8.4584
_cell_length_c 8.4584
_cell_angle_alpha 90.00
_cell_angle_beta 90.00
_cell_angle_gamma 90.00
loop_
_symmetry_equiv_pos_as_xyz
'x,y,z'
loop_
_atom_site_label
_atom_site_type_symbol
_atom_site_fract_x
_atom_site_fract_y
_atom_site_fract_z
K1 K 0.0000 0.0000 0.0000
K2 K 0.0000 0.5000 0.5000
K3 K 0.5000 0.0000 0.5000
K4 K 0.5000 0.5000 0.0000
Ba1 Ba 0.0000 0.0000 0.5000
Ba2 Ba 0.0000 0.5000 0.0000
Ba3 Ba 0.5000 0.0000 0.0000
Ba4 Ba 0.5000 0.5000 0.5000
Hg1 Hg 0.2500 0.2500 0.2500
Hg2 Hg 0.2500 0.7500 0.7500
Hg3 Hg 0.7500 0.2500 0.7500
Hg4 Hg 0.7500 0.7500 0.2500
Br1 Br 0.2500 0.2500 0.7500
Br2 Br 0.2500 0.7500 0.2500
Br3 Br 0.7500 0.2500 0.2500
Br4 Br 0.7500 0.7500 0.7500
```

SG: F-43m, No. 216
Energy (eV/atom): -2.031
Raw formation energy (eV/atom): -0.783



No. 2
Below is a relaxed structure of LuGaCu, with properties calculated at the PBE-GGA level.

The structure in CIF format:
```
data_LuGaCu
_symmetry_space_group_name_H-M 'P 1'
_symmetry_Int_Tables_number 1
_cell_length_a 3.2529
_cell_length_b 3.2529
_cell_length_c 10.3052
_cell_angle_alpha 90.00
_cell_angle_beta 90.00
_cell_angle_gamma 90.00
loop_
_symmetry_equiv_pos_as_xyz
'x,y,z'
loop_
_atom_site_label
_atom_site_type_symbol
_atom_site_fract_x
_atom_site_fract_y
_atom_site_fract_z
Lu1 Lu 0.0000 0.0000 0.0000
Lu2 Lu 0.5000 0.5000 0.5000
Ga1 Ga 0.0000 0.0000 0.6951
Ga2 Ga 0.5000 0.5000 0.1951
Cu1 Cu 0.0000 0.0000 0.3184
Cu2 Cu 0.5000 0.5000 0.8184
```

E_form (eV/atom): -0.28
SG: I4mm, No. 107
Energy (eV/atom): -4.160



No. 3
Below is a relaxed structure of MgNi3Ge, with properties calculated at the PBE-GGA level.

The structure in CIF format:
```
data_MgNi3Ge
_symmetry_space_group_name_H-M 'P 1'
_symmetry_Int_Tables_number 1
_cell_length_a 5.8769
_cell_length_b 5.8769
_cell_length_c 5.8769
_cell_angle_alpha 130.72
_cell_angle_beta 109.59
_cell_angle_gamma 90.71
loop_
_symmetry_equiv_pos_as_xyz
'x,y,z'
loop_
_atom_site_label
_atom_site_type_symbol
_atom_site_fract_x
_atom_site_fract_y
_atom_site_fract_z
Mg1 Mg 0.2524 0.0024 0.2500
Mg2 Mg 0.7476 0.9976 0.7500
Ni1 Ni 0.1877 0.0000 0.6877
Ni2 Ni 0.1877 0.5000 0.1877
Ni3 Ni 0.4409 0.6909 0.7500
Ni4 Ni 0.5591 0.3091 0.2500
Ni5 Ni 0.8123 0.0000 0.3123
Ni6 Ni 0.8123 0.5000 0.8123
Ge1 Ge 0.0000 0.5000 0.5000
Ge2 Ge 0.5000 0.5000 0.0000
```

E_form (eV/atom): -0.17
SG: Imma, No. 74
Energy (eV/atom): -4.886
ΔE to the lowest computed polymorph (meV per atom): 0



No. 4
Below is a relaxed structure of Nd2CuH, with properties calculated at the PBE-GGA level.

The structure in CIF format:
```
data_Nd2CuH
_symmetry_space_group_name_H-M 'P 1'
_symmetry_Int_Tables_number 1
_cell_length_a 3.9373
_cell_length_b 3.9373
_cell_length_c 19.5557
_cell_angle_alpha 90.00
_cell_angle_beta 90.00
_cell_angle_gamma 120.00
loop_
_symmetry_equiv_pos_as_xyz
'x,y,z'
loop_
_atom_site_label
_atom_site_type_symbol
_atom_site_fract_x
_atom_site_fract_y
_atom_site_fract_z
Nd1 Nd 0.0000 0.0000 0.2390
Nd2 Nd 0.0000 0.0000 0.7610
Nd3 Nd 0.3333 0.6667 0.4277
Nd4 Nd 0.3333 0.6667 0.9056
Nd5 Nd 0.6667 0.3333 0.0944
Nd6 Nd 0.6667 0.3333 0.5723
Cu1 Cu 0.0000 0.0000 0.0000
Cu2 Cu 0.3333 0.6667 0.6667
Cu3 Cu 0.6667 0.3333 0.3333
H1 H 0.0000 0.0000 0.5000
H2 H 0.3333 0.6667 0.1667
H3 H 0.6667 0.3333 0.8333
```

SG: R-3m, No. 166
Energy (eV/atom): -4.367
ΔE to the lowest computed polymorph (meV per atom): 0



No. 5
Below is a relaxed structure of Mg2AlHgH, with properties calculated at the PBE-GGA level.

The structure in CIF format:
```
data_Mg2AlHgH
_symmetry_space_group_name_H-M 'P 1'
_symmetry_Int_Tables_number 1
_cell_length_a 4.3978
_cell_length_b 4.3978
_cell_length_c 4.1898
_cell_angle_alpha 90.00
_cell_angle_beta 90.00
_cell_angle_gamma 90.00
loop_
_symmetry_equiv_pos_as_xyz
'x,y,z'
loop_
_atom_site_label
_atom_site_type_symbol
_atom_site_fract_x
_atom_site_fract_y
_atom_site_fract_z
Mg1 Mg 0.0000 0.5000 0.0000
Mg2 Mg 0.5000 0.0000 0.0000
Al1 Al 0.0000 0.0000 0.5000
Hg1 Hg 0.5000 0.5000 0.5000
H1 H 0.0000 0.0000 0.0000
```

SG: P4/mmm, No. 123
Energy (eV/atom): -2.099



No. 6
Below is a relaxed structure of Ag2Pd2Br7, with properties calculated at the PBE-GGA level.

The structure in CIF format:
```
data_Ag2Pd2Br7
_symmetry_space_group_name_H-M 'P 1'
_symmetry_Int_Tables_number 1
_cell_length_a 7.1890
_cell_length_b 7.1890
_cell_length_c 8.0005
_cell_angle_alpha 90.00
_cell_angle_beta 90.00
_cell_angle_gamma 112.64
loop_
_symmetry_equiv_pos_as_xyz
'x,y,z'
loop_
_atom_site_label
_atom_site_type_symbol
_atom_site_fract_x
_atom_site_fract_y
_atom_site_fract_z
Ag1 Ag 0.2120 0.7880 0.0000
Ag2 Ag 0.7880 0.2120 0.0000
Pd1 Pd 0.2035 0.2035 0.3885
Pd2 Pd 0.7965 0.7965 0.6115
Br1 Br 0.1013 0.1013 0.6893
Br2 Br 0.1160 0.4196 0.1640
Br3 Br 0.4196 0.1160 0.1640
Br4 Br 0.5000 0.5000 0.5000
Br5 Br 0.5804 0.8840 0.8360
Br6 Br 0.8840 0.5804 0.8360
Br7 Br 0.8987 0.8987 0.3107
```

SG: C2/m, No. 12
Energy (eV/atom): -2.703
Raw formation energy (eV/atom): -0.176
ΔE to the lowest computed polymorph (meV per atom): 27



No. 7
Below is a relaxed structure of GaAg, with properties calculated at the PBE-GGA level.

The structure in CIF format:
```
data_GaAg
_symmetry_space_group_name_H-M 'P 1'
_symmetry_Int_Tables_number 1
_cell_length_a 7.3264
_cell_length_b 7.3264
_cell_length_c 7.3264
_cell_angle_alpha 90.00
_cell_angle_beta 90.00
_cell_angle_gamma 90.00
loop_
_symmetry_equiv_pos_as_xyz
'x,y,z'
loop_
_atom_site_label
_atom_site_type_symbol
_atom_site_fract_x
_atom_site_fract_y
_atom_site_fract_z
Ga1 Ga 0.0000 0.2500 0.5000
Ga2 Ga 0.0000 0.7500 0.5000
Ga3 Ga 0.2500 0.5000 0.0000
Ga4 Ga 0.5000 0.0000 0.2500
Ga5 Ga 0.5000 0.0000 0.7500
Ga6 Ga 0.7500 0.5000 0.0000
Ag1 Ag 0.0000 0.5000 0.2500
Ag2 Ag 0.0000 0.5000 0.7500
Ag3 Ag 0.2500 0.0000 0.5000
Ag4 Ag 0.5000 0.2500 0.0000
Ag5 Ag 0.5000 0.7500 0.0000
Ag6 Ag 0.7500 0.0000 0.5000
```

E_form (eV/atom): 0.46
SG: Pm-3n, No. 223
Energy (eV/atom): -2.477



No. 8
Below is a relaxed structure of FePPdS2, with properties calculated at the PBE-GGA level.

The structure in CIF format:
```
data_FePPdS2
_symmetry_space_group_name_H-M 'P 1'
_symmetry_Int_Tables_number 1
_cell_length_a 4.4763
_cell_length_b 4.4763
_cell_length_c 4.2554
_cell_angle_alpha 90.00
_cell_angle_beta 90.00
_cell_angle_gamma 90.00
loop_
_symmetry_equiv_pos_as_xyz
'x,y,z'
loop_
_atom_site_label
_atom_site_type_symbol
_atom_site_fract_x
_atom_site_fract_y
_atom_site_fract_z
Fe1 Fe 0.0000 0.0000 0.0000
P1 P 0.0000 0.0000 0.5000
Pd1 Pd 0.5000 0.5000 0.5000
S1 S 0.0000 0.5000 0.0000
S2 S 0.5000 0.0000 0.0000
```

SG: P4/mmm, No. 123
Energy (eV/atom): -4.931
Raw formation energy (eV/atom): 0.533
ΔE to the lowest computed polymorph (meV per atom): 0



No. 9
Below is a relaxed structure of CePaZnAu, with properties calculated at the PBE-GGA level.

The structure in CIF format:
```
data_CePaZnAu
_symmetry_space_group_name_H-M 'P 1'
_symmetry_Int_Tables_number 1
_cell_length_a 7.2405
_cell_length_b 7.2405
_cell_length_c 7.2405
_cell_angle_alpha 90.00
_cell_angle_beta 90.00
_cell_angle_gamma 90.00
loop_
_symmetry_equiv_pos_as_xyz
'x,y,z'
loop_
_atom_site_label
_atom_site_type_symbol
_atom_site_fract_x
_atom_site_fract_y
_atom_site_fract_z
Ce1 Ce 0.0000 0.0000 0.0000
Ce2 Ce 0.0000 0.5000 0.5000
Ce3 Ce 0.5000 0.0000 0.5000
Ce4 Ce 0.5000 0.5000 0.0000
Pa1 Pa 0.0000 0.0000 0.5000
Pa2 Pa 0.0000 0.5000 0.0000
Pa3 Pa 0.5000 0.0000 0.0000
Pa4 Pa 0.5000 0.5000 0.5000
Zn1 Zn 0.2500 0.2500 0.7500
Zn2 Zn 0.2500 0.7500 0.2500
Zn3 Zn 0.7500 0.2500 0.2500
Zn4 Zn 0.7500 0.7500 0.7500
Au1 Au 0.2500 0.2500 0.2500
Au2 Au 0.2500 0.7500 0.7500
Au3 Au 0.7500 0.2500 0.7500
Au4 Au 0.7500 0.7500 0.2500
```

E_form (eV/atom): -0.12
SG: F-43m, No. 216
Energy (eV/atom): -5.110